TcGeW2 | PBE | relaxed

Values from the calculation:
- E_form: 0.72 eV/atom
- Total energy: -9.502 eV/atom
- Space-group type: I-42d (122)
- N(E_F): 0.890 states/eV per atom
- M_tot: 0.00 μB per cell

Cell: 3.796 3.796 9.706 Å, 78.72 78.72 90.00°
Sites, in units of the cell vectors:
Ge: 0.500 0.500 0.000
Ge: 0.250 0.750 0.500
Tc: 0.000 0.000 0.000
Tc: 0.750 0.250 0.500
W: 0.604 0.125 0.250
W: 0.146 0.625 0.250
W: 0.375 0.396 0.750
W: 0.875 0.854 0.750

---

Tc2GeW | PBE | relaxed

Values from the calculation:
- E_form: 0.77 eV/atom
- Total energy: -8.810 eV/atom
- Space-group type: I-42d (122)
- N(E_F): 1.198 states/eV per atom
- M_tot: 0.00 μB per cell

Cell: 6.886 6.886 5.602 Å, 52.08 52.08 90.00°
Sites, in units of the cell vectors:
Ge: 0.500 0.500 0.000
Ge: 0.250 0.750 0.500
Tc: 0.622 0.125 0.250
Tc: 0.128 0.625 0.250
Tc: 0.375 0.378 0.750
Tc: 0.875 0.872 0.750
W: 0.000 0.000 0.000
W: 0.750 0.250 0.500

---

Tc2GeW | PBE | relaxed

Values from the calculation:
- E_form: -0.07 eV/atom
- Total energy: -9.647 eV/atom
- Space-group type: P4/mmm (123)
- N(E_F): 0.571 states/eV per atom
- M_tot: 0.00 μB per cell

Cell: 3.121 3.121 6.114 Å, 90.00 90.00 90.00°
Sites, in units of the cell vectors:
Ge: 0.500 0.500 0.500
Tc: 0.000 0.000 0.746
Tc: 0.000 0.000 0.254
W: 0.500 0.500 0.000

---

TcGeW3 | PBE | relaxed

Values from the calculation:
- E_form: 1.98 eV/atom
- Total energy: -8.787 eV/atom
- Space-group type: Pm-3m (221)
- N(E_F): 1.391 states/eV per atom
- M_tot: 0.00 μB per cell

Cell: 4.726 4.726 4.726 Å, 90.00 90.00 90.00°
Sites, in units of the cell vectors:
Ge: 0.500 0.500 0.500
Tc: 0.000 0.000 0.000
W: 0.000 0.500 0.000
W: 0.000 0.000 0.500
W: 0.500 0.000 0.000

---

TcGe2W | PBE | relaxed

Values from the calculation:
- E_form: 0.47 eV/atom
- Total energy: -7.670 eV/atom
- Space-group type: R-3m (166)
- N(E_F): 0.902 states/eV per atom
- M_tot: 0.45 μB per cell

Cell: 2.864 2.864 9.501 Å, 81.33 81.33 60.00°
Sites, in units of the cell vectors:
Ge: 0.090 0.090 0.730
Ge: 0.910 0.910 0.270
Tc: 0.000 0.000 0.000
W: 0.500 0.500 0.500

---

TcGe2W | PBE | relaxed

Values from the calculation:
- E_form: 0.22 eV/atom
- Total energy: -7.918 eV/atom
- Space-group type: Fm-3m (225)
- N(E_F): 1.342 states/eV per atom
- M_tot: 0.00 μB per cell

Cell: 4.392 4.392 4.392 Å, 60.00 60.00 60.00°
Sites, in units of the cell vectors:
Ge: 0.250 0.250 0.250
Ge: 0.750 0.750 0.750
Tc: 0.000 0.000 0.000
W: 0.500 0.500 0.500